A relaxed TbHo2TlC crystal, computed with PBE.

extended XYZ file:
```
5
Lattice="4.952 0.000 0.000 0.000 4.896 0.000 0.000 0.000 4.896" Properties=species:S:1:pos:R:3 pbc="T T T"
Tb 2.476 0.000 0.000
C 0.000 0.000 0.000
Ho 0.000 0.000 2.448
Ho 0.000 2.448 0.000
Tl 2.476 2.448 2.448
```

- energy of formation from the pure elements (eV/atom) = -0.460
- symmetry = P4/mmm (123)

***

A relaxed GaWS2 crystal, computed with PBE.

extended XYZ file:
```
4
Lattice="1.829 0.000 8.938 -0.915 1.584 8.938 -0.915 -1.584 8.938" Properties=species:S:1:pos:R:3 pbc="T T T"
S 0.000 0.000 23.954
S 0.000 0.000 2.862
Ga 0.000 0.000 0.000
W 0.000 0.000 13.408
```

- formation energy without anion corrections (eV/atom) = -0.34
- symmetry = R-3m (166)

***

A relaxed Ce8SbC2 crystal, computed with PBE.

extended XYZ file:
```
11
Lattice="5.125 0.025 0.037 -0.810 7.330 -0.153 -0.810 -2.965 6.705" Properties=species:S:1:pos:R:3 pbc="T T T"
Ce -0.081 2.195 0.283
Ce 3.586 2.195 6.306
Ce 3.586 4.974 4.454
Ce -0.081 -0.584 2.135
Ce 0.496 2.584 3.879
Ce 1.752 4.573 1.710
Ce 1.752 -0.183 4.879
Ce 3.009 1.806 2.710
C -0.810 0.328 4.511
C -0.810 4.037 2.041
Sb 2.562 0.012 0.019
```

- formation energy without anion corrections (eV/atom) = -0.12
- symmetry = C2/m (12)

***

A relaxed Pr5Nd2Mg2 crystal, computed with PBE.

extended XYZ file:
```
18
Lattice="10.843 0.000 0.000 0.000 6.833 0.000 -5.422 -3.416 8.210" Properties=species:S:1:pos:R:3 pbc="T T T"
Mg 5.105 -0.295 1.397
Mg 5.105 -0.295 6.814
Mg 0.316 3.122 1.397
Mg 0.316 3.122 6.814
Pr 2.118 5.669 2.457
Pr 3.304 2.252 2.457
Pr 3.304 2.252 5.753
Pr 2.118 -1.164 5.753
Pr 8.292 4.783 1.021
Pr 6.672 1.234 4.105
Pr -2.870 1.367 7.189
Pr 7.973 1.367 1.021
Pr -2.551 -2.049 7.189
Pr -1.250 4.651 4.105
Nd 5.629 4.600 4.105
Nd 0.000 0.061 0.000
Nd -0.208 1.183 4.105
Nd 5.422 3.478 0.000
```

- energy of formation from the pure elements (eV/atom) = 0.123
- symmetry = Ima2 (46)

***

A relaxed CaIr3Br crystal, computed with PBE.

extended XYZ file:
```
5
Lattice="-4.592 -0.904 -0.415 -0.113 -1.473 4.460 -0.989 4.369 1.418" Properties=species:S:1:pos:R:3 pbc="T T T"
Ca -2.846 0.996 2.731
Ir -2.296 -0.452 -0.207
Ir -0.494 2.184 0.709
Ir -0.056 -0.736 2.230
Br 0.000 0.000 0.000
```

- formation energy without anion corrections (eV/atom) = 1.12
- symmetry = Pm-3m (221)
- excess energy over the best structure of this formula in the dataset (meV per atom) = 0

***

A relaxed AcNd2Ga crystal, computed with PBE.

extended XYZ file:
```
4
Lattice="4.491 0.000 0.000 2.246 3.890 0.000 2.246 1.297 8.188" Properties=species:S:1:pos:R:3 pbc="T T T"
Ac 4.491 2.593 4.100
Ga 6.737 3.890 8.187
Nd 2.246 1.297 6.725
Nd 2.246 1.297 1.458
```

- energy of formation from the pure elements (eV/atom) = -0.047
- symmetry = R3m (160)
- excess energy over the best structure of this formula in the dataset (meV per atom) = 193

***

A relaxed BaTc2Ag crystal, computed with PBE.

extended XYZ file:
```
4
Lattice="-0.003 9.962 4.094 -2.910 9.699 3.670 -1.683 8.679 6.151" Properties=species:S:1:pos:R:3 pbc="T T T"
Tc -2.349 14.482 7.111
Tc -4.546 28.029 13.762
Ag -1.149 7.085 3.479
Ba -3.447 21.255 10.436
```

- energy of formation from the pure elements (eV/atom) = 1.289
- symmetry = R-3m (166)
- excess energy over the best structure of this formula in the dataset (meV per atom) = 861

***

A relaxed ZrAuO2 crystal, computed with PBE.

extended XYZ file:
```
4
Lattice="-4.953 0.304 6.528 -2.135 0.986 7.856 -3.837 3.291 6.457" Properties=species:S:1:pos:R:3 pbc="T T T"
O -1.355 0.568 2.586
O -9.569 4.012 18.255
Au 0.000 0.000 0.000
Zr -5.462 2.290 10.420
```

- formation energy without anion corrections (eV/atom) = -2.05
- symmetry = R-3m (166)

***

Repeat the seventh record exactly.
A relaxed BaTc2Ag crystal, computed with PBE.

extended XYZ file:
```
4
Lattice="-0.003 9.962 4.094 -2.910 9.699 3.670 -1.683 8.679 6.151" Properties=species:S:1:pos:R:3 pbc="T T T"
Tc -2.349 14.482 7.111
Tc -4.546 28.029 13.762
Ag -1.149 7.085 3.479
Ba -3.447 21.255 10.436
```

- energy of formation from the pure elements (eV/atom) = 1.289
- symmetry = R-3m (166)
- excess energy over the best structure of this formula in the dataset (meV per atom) = 861